Entry 1:
An optimized crystal structure of HfCo. Source: the Open Quantum Materials Database, functional PBE.

The value obtained for the total energy is -8.957 eV per atom. The energy of formation from the pure elements is -0.43 eV per atom. The calculation puts the theoretical density at 12.595 g/cm³.

```
data_HfCo
_chemical_formula_sum 'Hf8 Co8'
_cell_length_a 3.1983
_cell_length_b 18.7996
_cell_length_c 4.1648
_cell_angle_alpha 90.00
_cell_angle_beta 90.00
_cell_angle_gamma 90.00
_space_group_name_H-M_alt 'C m c m'
_space_group_IT_number 63
_space_group_name_Hall '-C 2c 2'
loop_
_atom_site_label
_atom_site_fract_x
_atom_site_fract_y
_atom_site_fract_z
_atom_site_occupancy
Hf1 0.0000 0.0614 0.2500 1
Hf2 0.0000 0.1941 0.7500 1
Co1 0.0000 0.3325 0.7500 1
Co2 0.0000 0.4423 0.2500 1
```

=====

Entry 2:
An optimized crystal structure of Nb4GaCuC2. Source: the Open Quantum Materials Database, functional PBE.

The value obtained for the total energy is -8.557 eV per atom. The calculation puts the theoretical density at 7.596 g/cm³.

```
data_Nb4GaCuC2
_chemical_formula_sum 'Nb4 Ga1 Cu1 C2'
_cell_length_a 3.1607
_cell_length_b 3.1607
_cell_length_c 13.3650
_cell_angle_alpha 90.00
_cell_angle_beta 90.00
_cell_angle_gamma 120.00
_space_group_name_H-M_alt 'P -6 m 2'
_space_group_IT_number 187
_space_group_name_Hall 'P -6 2'
loop_
_atom_site_label
_atom_site_fract_x
_atom_site_fract_y
_atom_site_fract_z
_atom_site_occupancy
Nb1 0.0000 0.0000 0.1548 1
Nb2 0.3333 0.6667 0.3369 1
Ga1 0.0000 0.0000 0.5000 1
Cu1 0.3333 0.6667 0.0000 1
C1 0.6667 0.3333 0.2444 1
```

=====

Entry 3:
An optimized crystal structure of Li2Sc2GaPt2Pb. Source: the Open Quantum Materials Database, functional PBE.

The value obtained for the total energy is -5.195 eV per atom. The calculation puts the theoretical density at 9.402 g/cm³.

```
data_Li2Sc2GaPt2Pb
_chemical_formula_sum 'Li2 Sc2 Ga1 Pt2 Pb1'
_cell_length_a 4.5452
_cell_length_b 4.5452
_cell_length_c 6.5907
_cell_angle_alpha 90.00
_cell_angle_beta 90.00
_cell_angle_gamma 90.00
_space_group_name_H-M_alt 'P -4 m 2'
_space_group_IT_number 115
loop_
_space_group_symop_operation_xyz
'x,y,z'
'y,-x,-z'
'-x,-y,z'
'-y,x,-z'
'-x,y,z'
'-y,-x,-z'
'x,-y,z'
'y,x,-z'
loop_
_atom_site_label
_atom_site_fract_x
_atom_site_fract_y
_atom_site_fract_z
_atom_site_occupancy
Li1 0.0000 0.5000 0.2285 1
Sc1 0.0000 0.0000 0.0000 1
Sc2 0.5000 0.5000 0.5000 1
Ga1 0.5000 0.5000 0.0000 1
Pt1 0.0000 0.5000 0.7724 1
Pb1 0.0000 0.0000 0.5000 1
```